[1]
First-principles (PBE-GGA) data for an optimized crystal structure of HfMnMo, as listed in the Alexandria database. Values from VASP.

```
&SYSTEM
  ibrav = 0, nat = 6, ntyp = 3
/
ATOMIC_SPECIES
Hf 178.49 Hf.upf
Mo 95.94 Mo.upf
Mn 54.94 Mn.upf
CELL_PARAMETERS angstrom
-0.298 -4.797 -1.847
3.272 3.355 -2.134
3.964 -3.198 0.757
ATOMIC_POSITIONS angstrom
Hf 2.811 -2.765 -0.261
Mo -0.149 -2.399 -0.924
Mo 1.636 1.677 -1.067
Mn 3.618 0.078 -0.689
Mn 1.487 -0.721 -1.991
Hf 4.128 -1.876 -2.963
```

Summary:
DFT formation energy, eV/f.u.: -0.559
Space-group type: No. 74

[2]
First-principles (PBE-GGA) data for an optimized crystal structure of LaNd3Th2Se6, as listed in the Alexandria database. Values from VASP.

```
&SYSTEM
  ibrav = 0, nat = 12, ntyp = 4
/
ATOMIC_SPECIES
Se 78.96 Se.upf
Nd 144.24 Nd.upf
Th 232.04 Th.upf
La 138.91 La.upf
CELL_PARAMETERS angstrom
7.300 0.007 0.001
-3.642 6.327 0.001
-1.219 -2.110 6.963
ATOMIC_POSITIONS angstrom
Se -0.024 4.219 5.201
Se 0.016 0.028 5.232
Nd 4.904 -0.017 3.483
Se -1.227 2.135 1.765
Se 2.463 0.004 1.765
Th -0.004 4.225 0.001
Th 3.662 2.108 0.001
Nd 1.220 2.112 3.483
Nd -2.465 4.240 3.483
Se 2.423 4.195 1.734
La 0.000 0.000 0.000
Se 3.667 2.088 5.201
```

Summary:
Space-group type: No. 12
Uncorrected formation energy, eV/atom: -1.755

[3]
First-principles (PBE-GGA) data for an optimized crystal structure of YPaTlHg, as listed in the Alexandria database. Values from VASP.

```
&SYSTEM
  ibrav = 0, nat = 4, ntyp = 4
/
ATOMIC_SPECIES
Pa 231.04 Pa.upf
Y 88.91 Y.upf
Tl 204.38 Tl.upf
Hg 200.59 Hg.upf
CELL_PARAMETERS angstrom
5.339 0.000 0.000
2.669 4.624 0.000
2.669 1.541 4.359
ATOMIC_POSITIONS angstrom
Pa 2.669 1.541 1.090
Y 8.008 4.624 3.269
Tl 0.000 0.000 0.000
Hg 5.339 3.082 2.180
```

Summary:
DFT formation energy, eV/f.u.: -0.017
Space-group type: No. 216

[4]
First-principles (PBE-GGA) data for an optimized crystal structure of KLaGdSbO6, as listed in the Alexandria database. Values from VASP.

```
&SYSTEM
  ibrav = 0, nat = 10, ntyp = 5
/
ATOMIC_SPECIES
O 16.00 O.upf
La 138.91 La.upf
Sb 121.76 Sb.upf
K 39.10 K.upf
Gd 157.25 Gd.upf
CELL_PARAMETERS angstrom
-2.295 3.320 4.384
-5.196 2.806 -0.795
-4.861 -1.851 2.907
ATOMIC_POSITIONS angstrom
O -4.344 2.695 3.784
La -9.264 3.206 4.873
O -5.714 2.453 1.340
O -6.797 4.019 3.409
Sb -6.176 2.137 3.248
K -3.088 1.069 1.624
Gd 0.000 0.000 0.000
O -8.008 1.579 2.712
O -5.556 0.255 3.087
O -6.638 1.822 5.156
```

Summary:
Space-group type: No. 216
Uncorrected formation energy, eV/atom: -2.428

Number 1: total DFT energy (no corrections) -10.17 eV per atom, magnetic moment 0.84 μB per formula unit. Number 2: total DFT energy (no corrections) -6.34 eV per atom, magnetic moment 0.00 μB per formula unit. Number 3: total DFT energy (no corrections) -4.66 eV per atom, magnetic moment 2.00 μB per formula unit. Number 4: total DFT energy (no corrections) -7.83 eV per atom, magnetic moment 6.96 μB per formula unit.